Record 1
{
  "formula": "NpPaPS2",
  "functional": "PBE",
  "state": "relaxed",
  "cell": [[4.095, 0.000, 0.000], [0.000, 4.095, 0.000], [0.000, 0.000, 12.748]],
  "species": ["Np", "Np", "Pa", "Pa", "P", "P", "S", "S", "S", "S"],
  "fractional_positions": [[0.000, 0.000, 0.000], [0.500, 0.500, 0.500], [0.000, 0.000, 0.222], [0.500, 0.500, 0.722], [0.000, 0.000, 0.615], [0.500, 0.500, 0.115], [0.000, 0.500, 0.361], [0.000, 0.500, 0.861], [0.500, 0.000, 0.361], [0.500, 0.000, 0.861]],
  "n_ef_per_ev_cell": 15.3,
  "crystal_system": "tetragonal",
  "sg": "I4mm (107)",
  "vol_a3_per_atom": 21.4,
  "e_form_raw_ev_per_atom": -0.920
}

***

Record 2
{
  "formula": "NpSc2PaP4",
  "functional": "PBE",
  "state": "relaxed",
  "cell": [[6.668, 0.000, 0.000], [0.000, 3.876, 0.000], [-2.255, 0.000, 6.314]],
  "species": ["Np", "Sc", "Sc", "Pa", "P", "P", "P", "P"],
  "fractional_positions": [[0.000, 0.000, 0.000], [0.500, 0.000, 0.500], [0.500, 0.500, 0.000], [0.000, 0.500, 0.500], [0.262, 0.500, 0.254], [0.264, 0.000, 0.754], [0.736, 0.000, 0.246], [0.738, 0.500, 0.746]],
  "n_ef_per_ev_cell": 10.4,
  "crystal_system": "monoclinic",
  "delta_e_f_mev_per_atom": -1292.7,
  "sg": "P2/m (10)",
  "vol_a3_per_atom": 20.4
}

***

Record 3
{
  "formula": "Np2ScPaP4",
  "functional": "PBE",
  "state": "relaxed",
  "cell": [[6.765, 0.000, 0.000], [0.000, 3.923, 0.000], [-2.273, 0.000, 6.398]],
  "species": ["Np", "Np", "Sc", "Pa", "P", "P", "P", "P"],
  "fractional_positions": [[0.000, 0.000, 0.000], [0.000, 0.500, 0.500], [0.500, 0.000, 0.500], [0.500, 0.500, 0.000], [0.254, 0.000, 0.743], [0.257, 0.500, 0.257], [0.743, 0.500, 0.743], [0.746, 0.000, 0.257]],
  "n_ef_per_ev_cell": 21.0,
  "crystal_system": "monoclinic",
  "delta_e_f_mev_per_atom": -1117.8,
  "sg": "P2/m (10)",
  "vol_a3_per_atom": 21.2
}

***

Record 4
{
  "formula": "NpPaPSe",
  "functional": "PBE",
  "state": "relaxed",
  "cell": [[3.884, 0.000, 0.000], [-1.942, 3.364, 0.000], [0.000, 0.000, 21.497]],
  "species": ["Np", "Np", "Np", "Pa", "Pa", "Pa", "P", "P", "P", "Se", "Se", "Se"],
  "fractional_positions": [[0.000, 0.000, 0.000], [0.333, 0.667, 0.667], [0.667, 0.333, 0.333], [0.000, 0.000, 0.185], [0.333, 0.667, 0.851], [0.667, 0.333, 0.518], [0.000, 0.000, 0.592], [0.333, 0.667, 0.259], [0.667, 0.333, 0.926], [0.000, 0.000, 0.762], [0.333, 0.667, 0.428], [0.667, 0.333, 0.095]],
  "n_ef_per_ev_cell": 29.3,
  "crystal_system": "trigonal",
  "sg": "R3m (160)",
  "vol_a3_per_atom": 23.4,
  "e_form_raw_ev_per_atom": -1.065
}

***

> What is the formula in the third record?

Np2ScPaP4